Entry from the Alexandria database: crystalline K8Li9Cr4O16 at its relaxed geometry (GGA+U).

a = 5.621 Å, b = 9.332 Å, c = 10.296 Å
α = 88.99°, β = 81.92°, γ = 87.97°
Space group P1 (No. 1)
Symmetry-distinct sites (fractional):
K  0.000  0.000  0.000 [1 per cell]
K  0.000  0.230  0.500 [1 per cell]
K  0.279  0.214  0.799 [1 per cell]
K  0.319  0.437  0.299 [1 per cell]
K  0.481  0.718  0.008 [1 per cell]
K  0.541  0.047  0.511 [1 per cell]
K  0.749  0.421  0.790 [1 per cell]
K  0.831  0.716  0.287 [1 per cell]
Li  0.023  0.681  0.853 [1 per cell]
Li  0.072  0.978  0.328 [1 per cell]
Li  0.223  0.476  0.968 [1 per cell]
Li  0.279  0.776  0.439 [1 per cell]
Li  0.369  0.246  0.077 [1 per cell]
Li  0.508  0.740  0.693 [1 per cell]
Li  0.586  0.971  0.835 [1 per cell]
Li  0.729  0.477  0.467 [1 per cell]
Li  0.955  0.211  0.215 [1 per cell]
Cr  0.004  0.927  0.686 [1 per cell]
Cr  0.300  0.512  0.607 [1 per cell]
Cr  0.490  0.007  0.197 [1 per cell]
Cr  0.817  0.437  0.103 [1 per cell]
O  0.018  0.500  0.552 [1 per cell]
O  0.050  0.924  0.509 [1 per cell]
O  0.052  0.291  0.034 [1 per cell]
O  0.275  0.144  0.267 [1 per cell]
O  0.291  0.919  0.750 [1 per cell]
O  0.295  0.558  0.779 [1 per cell]
O  0.346  0.842  0.257 [1 per cell]
O  0.475  0.346  0.573 [1 per cell]
O  0.488  0.647  0.514 [1 per cell]
O  0.499  0.031  0.022 [1 per cell]
O  0.515  0.434  0.040 [1 per cell]
O  0.779  0.019  0.253 [1 per cell]
O  0.795  0.801  0.774 [1 per cell]
O  0.834  0.400  0.286 [1 per cell]
O  0.846  0.094  0.734 [1 per cell]
O  0.944  0.615  0.027 [1 per cell]

The total DFT energy (no corrections) is -5.3393 eV per atom.


Entry from the Alexandria database: crystalline KLiCrO2 at its relaxed geometry (GGA+U).

a = 6.211 Å, b = 12.567 Å, c = 4.173 Å
α = 90.00°, β = 90.00°, γ = 90.00°
Space group Cmme (No. 67)
Symmetry-distinct sites (fractional):
K  0.000  0.250  0.210 [4 per cell]
Li  0.000  0.000  0.000 [4 per cell]
Cr  0.250  0.000  0.500 [4 per cell]
O  0.000  0.096  0.647 [8 per cell]

The total DFT energy (no corrections) is -5.4320 eV per atom.


Entry from the Alexandria database: crystalline KLiCrO4 at its relaxed geometry (GGA+U).

a = 5.615 Å, b = 5.615 Å, c = 8.127 Å
α = 90.00°, β = 90.00°, γ = 90.00°
Space group I-4 (No. 82)
Symmetry-distinct sites (fractional):
K  0.000  0.000  0.000 [2 per cell]
Li  0.000  0.000  0.500 [2 per cell]
Cr  0.000  0.500  0.750 [2 per cell]
O  0.101  0.278  0.633 [8 per cell]

For the distance to the lowest polymorph of the same formula, the calculation gives 28 meV/atom.


Entry from the Alexandria database: crystalline KLiCr2O at its relaxed geometry (GGA+U).

a = 4.312 Å, b = 4.312 Å, c = 5.459 Å
α = 90.00°, β = 90.00°, γ = 90.00°
Space group P4/mmm (No. 123)
Symmetry-distinct sites (fractional):
K  0.000  0.000  0.000 [1 per cell]
Li  0.500  0.500  0.000 [1 per cell]
Cr  0.000  0.500  0.500 [2 per cell]
O  0.000  0.000  0.500 [1 per cell]

The total DFT energy (no corrections) is -4.7817 eV per atom.